This record from Alexandria describes a relaxed structure of AcTmBr2. The functional is PBE.

```
data_AcTmBr2
_chemical_formula_sum 'Ac3 Tm3 Br6'
_space_group_name_H-M_alt 'R -3 m'
_space_group_IT_number 166
_space_group_name_Hall '-R 3 2"'
_cell_length_a 3.8596
_cell_length_b 3.8596
_cell_length_c 31.1736
_cell_angle_alpha 90.00
_cell_angle_beta 90.00
_cell_angle_gamma 120.00
loop_
_atom_site_label
_atom_site_type_symbol
_atom_site_fract_x
_atom_site_fract_y
_atom_site_fract_z
Ac1 Ac 0.0000 0.0000 0.0000
Tm1 Tm 0.0000 0.0000 0.5000
Br1 Br 0.0000 0.0000 0.4098
```

Values from the calculation:
The density of states at the Fermi level is 4.85 states/eV per cell. The formation energy from raw total energies is -1044 meV/atom. For the total energy, the calculation gives -4.03 eV/atom.